1.
Here is TlAgPbS2 after structural relaxation from Alexandria via LeMat-Bulk. Energies are from PBE-GGA.

For the formation energy without anion corrections, the calculation gives -1.3 eV/f.u. For the total energy, the calculation gives -36.87 eV for the cell shown.

The structure belongs to space group P2/c (No. 13); the cell edges are 7.092, 5.651 and 7.957 Å and the angles 90.00°, 109.09° and 90.00°. The asymmetric unit holds Tl at (0.000, 0.149, 0.250), Ag at (0.500, 0.000, 0.000), Pb at (0.500, 0.438, 0.750) and S at (0.248, 0.284, 0.988).


2.
Here is TmAg2PbS4 after structural relaxation from Alexandria via LeMat-Bulk. Energies are from PBE-GGA.

For the formation energy without anion corrections, the calculation gives -5.8 eV/f.u. For the total energy, the calculation gives -36.21 eV for the cell shown.

The structure belongs to space group P2/m (No. 10); the cell edges are 6.617, 3.985 and 6.969 Å and the angles 90.00°, 110.01° and 90.00°. The asymmetric unit holds Tm at (0.000, 0.000, 0.000), Ag at (0.500, 0.000, 0.500), Ag at (0.500, 0.500, 0.000), Pb at (0.000, 0.500, 0.500), S at (0.246, 0.500, 0.235) and S at (0.259, 0.000, 0.765).